VASP calculation (GGA-PBE) on a relaxed Hg2IrRu crystal.

Cell and atoms, written as extended XYZ:
```
12
Lattice="2.957 0.000 0.000 -1.478 2.560 0.000 0.000 0.000 27.635" Properties=species:S:1:pos:R:3 pbc="T T T"
Hg 0.000 0.000 6.915
Hg 0.000 0.000 20.720
Hg 0.000 1.707 11.508
Hg 0.000 1.707 25.338
Hg 1.478 0.853 2.297
Hg 1.478 0.853 16.127
Ir 0.000 0.000 13.817
Ir 0.000 1.707 4.606
Ir 1.478 0.853 23.029
Ru 0.000 0.000 0.000
Ru 0.000 1.707 18.423
Ru 1.478 0.853 9.212
```

Output
For the total moment, the calculation gives 0.96 μB per formula unit. The energy above the most stable polymorph in this dataset comes out at 0.299 eV/atom. As for the formation energy: 58.5 kJ per mole of atoms. As for the crystal system: trigonal. Its energy is -0.1499 Ha/atom.